Record 1
The following is a DFT calculation (PBE) of crystalline BC5 at its relaxed geometry.

## Properties
As for the energy relative to the elements: 0.25 eV per atom. The value obtained for the calculated density is 3.26 g cm⁻³.

```
data_BC5
_chemical_formula_sum 'B2 C10'
_space_group_name_H-M_alt 'P 1'
_space_group_IT_number 1
_cell_length_a 2.550
_cell_length_b 2.550
_cell_length_c 12.815
_cell_angle_alpha 90.00
_cell_angle_beta 90.00
_cell_angle_gamma 120.00
loop_
_space_group_symop_operation_xyz
'x,y,z'
loop_
_atom_site_label
_atom_site_type_symbol
_atom_site_fract_x
_atom_site_fract_y
_atom_site_fract_z
B1 B 0.667 0.333 0.714
B2 B 0.667 0.333 0.328
C1 C 0.667 0.333 0.840
C2 C 0.000 0.000 0.879
C3 C 0.333 0.667 0.659
C4 C 0.000 0.000 0.382
C5 C 0.000 0.000 0.499
C6 C 0.333 0.667 0.542
C7 C 0.333 0.667 0.163
C8 C 0.667 0.333 0.202
C9 C 0.000 0.000 0.001
C10 C 0.333 0.667 0.040
```

Record 2
The following is a DFT calculation (PBE) of crystalline InGaHI2 at its relaxed geometry.

## Properties
As for the total energy: -2.611 eV per atom. The value obtained for the calculated density is 5.15 g cm⁻³.

```
data_InGaHI2
_chemical_formula_sum 'In1 Ga1 H1 I2'
_space_group_name_H-M_alt 'P 1'
_space_group_IT_number 1
_cell_length_a 6.062
_cell_length_b 6.062
_cell_length_c 3.853
_cell_angle_alpha 90.00
_cell_angle_beta 90.00
_cell_angle_gamma 90.00
loop_
_space_group_symop_operation_xyz
'x,y,z'
loop_
_atom_site_label
_atom_site_type_symbol
_atom_site_fract_x
_atom_site_fract_y
_atom_site_fract_z
I1 I 0.000 0.500 0.000
I2 I 0.500 0.000 0.000
H1 H 0.000 0.000 0.500
Ga1 Ga 0.000 0.000 0.000
In1 In 0.500 0.500 0.500
```